(1)
Material: PuZr
Method: DFT, GGA-PBE
State: relaxed

a = 4.3281 Å, b = 4.3281 Å, c = 4.3281 Å
α = 60.00°, β = 60.00°, γ = 60.00°
With the nearest neighbours (Å) after each atom.
Atoms (fractional coordinates):
Pu  0.0000  0.0000  0.0000  4 Zr 2.65
Zr  0.7500  0.7500  0.7500  4 Pu 2.65

Values from the calculation:
Calculated formation energy ... 1.716 eV/atom
Electronic total energy ... -9.621 eV per atom
Volume ... 28.7 A^3/atom

=====

(2)
Material: NaTmHfSe3
Method: DFT, GGA-PBE
State: relaxed

a = 7.3751 Å, b = 7.3751 Å, c = 10.8599 Å
α = 90.00°, β = 90.00°, γ = 148.78°
With the nearest neighbours (Å) after each atom.
Atoms (fractional coordinates):
Na  0.2492  0.7508  0.7500  6 Se 3.06-3.31
Na  0.7508  0.2492  0.2500  6 Se 3.06-3.31
Tm  0.5000  0.5000  0.0000  6 Se 2.86-2.97
Tm  0.5000  0.5000  0.5000  6 Se 2.86-2.97
Hf  0.0381  0.9619  0.2500  4 Se 2.54-2.65
Hf  0.9619  0.0381  0.7500  4 Se 2.54-2.65
Se  0.1384  0.8616  0.0560  1 Hf 2.54
Se  0.1384  0.8616  0.4440  1 Hf 2.54
Se  0.4148  0.5852  0.2500  2 Hf 2.65
Se  0.5852  0.4148  0.7500  2 Hf 2.65
Se  0.8616  0.1384  0.5560  1 Hf 2.54
Se  0.8616  0.1384  0.9440  1 Hf 2.54

Values from the calculation:
Electronic total energy ... -5.583 eV per atom
Volume ... 25.5 A^3/atom

=====

(3)
Material: NdGdTl
Method: DFT, GGA-PBE
State: relaxed

a = 5.5220 Å, b = 5.5220 Å, c = 6.8531 Å
α = 90.00°, β = 90.00°, γ = 120.00°
With the nearest neighbours (Å) after each atom.
Atoms (fractional coordinates):
Nd  0.3333  0.6667  0.2500  5 Tl 3.19-3.43
Nd  0.6667  0.3333  0.7500  5 Tl 3.19-3.43
Gd  0.0000  0.0000  0.0000  2 Gd 3.43, 6 Nd 3.62, 6 Tl 3.62
Gd  0.0000  0.0000  0.5000  2 Gd 3.43, 6 Tl 3.62, 6 Nd 3.62
Tl  0.3333  0.6667  0.7500  5 Nd 3.19-3.43
Tl  0.6667  0.3333  0.2500  5 Nd 3.19-3.43

Values from the calculation:
Electronic total energy ... -4.191 eV per atom
Volume ... 30.2 A^3/atom
Distance to the lowest polymorph of the same formula ... 0.003 eV/atom

=====

(4)
Material: PrCuTe2PbS
Method: DFT, GGA-PBE
State: relaxed

a = 7.5414 Å, b = 7.5414 Å, c = 10.7509 Å
α = 90.00°, β = 90.00°, γ = 147.23°
With the nearest neighbours (Å) after each atom.
Atoms (fractional coordinates):
Pr  0.0000  0.0000  0.0000  2 S 2.85, 4 Te 3.16
Pr  0.0000  0.0000  0.5000  2 S 2.85, 4 Te 3.16
Cu  0.4772  0.5228  0.7500  2 S 2.48, 2 Te 2.68
Cu  0.5228  0.4772  0.2500  2 S 2.48, 2 Te 2.68
Te  0.3479  0.6521  0.5721  1 Cu 2.68
Te  0.3479  0.6521  0.9279  1 Cu 2.68
Te  0.6521  0.3479  0.0721  1 Cu 2.68
Te  0.6521  0.3479  0.4279  1 Cu 2.68
Pb  0.2738  0.7262  0.2500  2 S 3.16, 4 Te 3.36
Pb  0.7262  0.2738  0.7500  2 S 3.16, 4 Te 3.36
S  0.0652  0.9348  0.7500  2 Cu 2.48
S  0.9348  0.0652  0.2500  2 Cu 2.48

Values from the calculation:
Electronic total energy ... -4.588 eV per atom
Volume ... 27.6 A^3/atom

=====

(5)
Material: AsPOsO
Method: DFT, GGA-PBE
State: relaxed

a = 3.9878 Å, b = 3.9878 Å, c = 7.4235 Å
α = 90.00°, β = 90.00°, γ = 90.00°
With the nearest neighbours (Å) after each atom.
Atoms (fractional coordinates):
As  0.2500  0.2500  0.1158  4 O 2.17
As  0.7500  0.7500  0.8842  4 O 2.17
P  0.2500  0.2500  0.6626  4 Os 2.33
P  0.7500  0.7500  0.3374  4 Os 2.33
Os  0.2500  0.7500  0.5000  4 P 2.33
Os  0.7500  0.2500  0.5000  4 P 2.33
O  0.2500  0.7500  0.0000  4 As 2.17
O  0.7500  0.2500  0.0000  4 As 2.17

Values from the calculation:
Electronic total energy ... -6.716 eV per atom
Volume ... 14.8 A^3/atom
Distance to the lowest polymorph of the same formula ... 0.000 eV/atom

=====

(6)
Material: Dy2Al2O5
Method: DFT, GGA-PBE
State: relaxed

a = 3.7836 Å, b = 3.7836 Å, c = 8.8879 Å
α = 90.00°, β = 90.00°, γ = 90.00°
With the nearest neighbours (Å) after each atom.
Atoms (fractional coordinates):
Dy  0.0000  0.0000  0.2441  5 O 2.13-2.27
Dy  0.0000  0.0000  0.7559  5 O 2.13-2.27
Al  0.5000  0.5000  0.0000  8 O 2.23
Al  0.5000  0.5000  0.5000  4 O 2.68
O  0.0000  0.0000  0.5000  2 Dy 2.27
O  0.0000  0.5000  0.1337  2 Dy 2.13, 2 Al 2.23, 1 O 2.38
O  0.0000  0.5000  0.8663  2 Dy 2.13, 2 Al 2.23, 1 O 2.38
O  0.5000  0.0000  0.1337  2 Dy 2.13, 2 Al 2.23, 1 O 2.38
O  0.5000  0.0000  0.8663  2 Dy 2.13, 2 Al 2.23, 1 O 2.38

Values from the calculation:
Electronic total energy ... -6.839 eV per atom
Volume ... 14.1 A^3/atom
Distance to the lowest polymorph of the same formula ... 0.671 eV/atom

=====

(7)
Material: PrYBr3N
Method: DFT, GGA-PBE
State: relaxed

a = 9.5007 Å, b = 9.5007 Å, c = 11.8214 Å
α = 123.36°, β = 123.36°, γ = 24.26°
With the nearest neighbours (Å) after each atom.
Atoms (fractional coordinates):
Pr  0.1364  0.1364  0.2858  2 N 2.42
Pr  0.8636  0.8636  0.7142  2 N 2.42
Y  0.4268  0.4268  0.0400  2 N 2.24
Y  0.5732  0.5732  0.9600  2 N 2.24
Br  0.0414  0.0414  0.7560  2 Y 2.92, 1 Pr 3.05
Br  0.2111  0.2111  0.1115  2 Y 2.93, 1 Pr 3.06
Br  0.3339  0.3339  0.4880  3 Pr 3.05-3.13
Br  0.6661  0.6661  0.5120  3 Pr 3.05-3.13
Br  0.7889  0.7889  0.8885  2 Y 2.93, 1 Pr 3.06
Br  0.9586  0.9586  0.2440  2 Y 2.92, 1 Pr 3.05
N  0.4279  0.4279  0.8510  2 Y 2.24, 2 Pr 2.42
N  0.5721  0.5721  0.1490  2 Y 2.24, 2 Pr 2.42

Values from the calculation:
Electronic total energy ... -5.928 eV per atom
Volume ... 30.2 A^3/atom

=====

(8)
Material: TbAlZn
Method: DFT, GGA-PBE
State: relaxed

a = 4.4953 Å, b = 4.4953 Å, c = 3.5672 Å
α = 90.00°, β = 90.00°, γ = 120.00°
With the nearest neighbours (Å) after each atom.
Atoms (fractional coordinates):
Tb  0.0000  0.0000  0.0000  6 Al 3.15, 6 Zn 3.15
Al  0.3333  0.6667  0.5000  3 Zn 2.60
Zn  0.6667  0.3333  0.5000  3 Al 2.60

Values from the calculation:
Electronic total energy ... -3.671 eV per atom
Volume ... 20.8 A^3/atom

=====

(9)
Material: LiGa2NiPt4
Method: DFT, GGA-PBE
State: relaxed

a = 4.4037 Å, b = 4.4037 Å, c = 5.8061 Å
α = 90.00°, β = 90.00°, γ = 90.00°
With the nearest neighbours (Å) after each atom.
Atoms (fractional coordinates):
Li  0.0000  0.0000  0.0000  8 Pt 2.64, 2 Ga 2.90
Ga  0.0000  0.0000  0.5000  8 Pt 2.63, 2 Li 2.90
Ga  0.5000  0.5000  0.0000  8 Pt 2.64, 2 Ni 2.90
Ni  0.5000  0.5000  0.5000  8 Pt 2.63, 2 Ga 2.90
Pt  0.0000  0.5000  0.2522  2 Ni 2.63, 4 Ga 2.63-2.64, 2 Li 2.64, 2 Pt 2.88-2.93
Pt  0.0000  0.5000  0.7478  2 Ni 2.63, 4 Ga 2.63-2.64, 2 Li 2.64, 2 Pt 2.88-2.93
Pt  0.5000  0.0000  0.2522  2 Ni 2.63, 4 Ga 2.63-2.64, 2 Li 2.64, 2 Pt 2.88-2.93
Pt  0.5000  0.0000  0.7478  2 Ni 2.63, 4 Ga 2.63-2.64, 2 Li 2.64, 2 Pt 2.88-2.93

Values from the calculation:
Electronic total energy ... -5.285 eV per atom
Volume ... 14.1 A^3/atom

=====

(10)
Material: K3Ga2Au3
Method: DFT, GGA-PBE
State: relaxed

a = 6.3603 Å, b = 6.3603 Å, c = 15.3409 Å
α = 90.00°, β = 90.00°, γ = 135.68°
With the nearest neighbours (Å) after each atom.
Atoms (fractional coordinates):
K  0.0855  0.9145  0.6174  7 Au 3.35-3.69, 4 Ga 3.41-3.50
K  0.0855  0.9145  0.8826  7 Au 3.35-3.69, 4 Ga 3.41-3.50
K  0.4021  0.5979  0.7500  4 Au 3.25-3.35
K  0.5979  0.4021  0.2500  4 Au 3.25-3.35
K  0.9145  0.0855  0.1174  7 Au 3.35-3.69, 4 Ga 3.41-3.50
K  0.9145  0.0855  0.3826  7 Au 3.35-3.69, 4 Ga 3.41-3.50
Ga  0.2080  0.7920  0.0842  4 Au 2.68-2.73
Ga  0.2080  0.7920  0.4158  4 Au 2.68-2.73
Ga  0.7920  0.2080  0.5842  4 Au 2.68-2.73
Ga  0.7920  0.2080  0.9158  4 Au 2.68-2.73
Au  0.2835  0.7165  0.2500  2 Ga 2.69
Au  0.3782  0.6218  0.5321  3 Ga 2.68-2.73
Au  0.3782  0.6218  0.9679  3 Ga 2.68-2.73
Au  0.6218  0.3782  0.0321  3 Ga 2.68-2.73
Au  0.6218  0.3782  0.4679  3 Ga 2.68-2.73
Au  0.7165  0.2835  0.7500  2 Ga 2.69

Values from the calculation:
Electronic total energy ... -2.693 eV per atom
Volume ... 27.1 A^3/atom

=====

(11)
Material: Tb2GdNi2C2N3
Method: DFT, GGA-PBE
State: relaxed

a = 10.1197 Å, b = 10.1197 Å, c = 10.1197 Å
α = 160.18°, β = 160.18°, γ = 28.17°
With the nearest neighbours (Å) after each atom.
Atoms (fractional coordinates):
Tb  0.1262  0.1262  0.0000  5 N 2.47-2.48
Tb  0.8738  0.8738  0.0000  5 N 2.47-2.48
Gd  0.5000  0.5000  0.0000  6 N 2.35-2.46
Ni  0.2500  0.7500  0.5000  4 C 2.09
Ni  0.7500  0.2500  0.5000  4 C 2.09
C  0.3090  0.3090  0.0000  1 N 1.40
C  0.6910  0.6910  0.0000  1 N 1.40
N  0.0000  0.0000  0.0000  4 Gd 2.46, 2 Tb 2.48
N  0.3801  0.3801  0.0000  1 C 1.40
N  0.6199  0.6199  0.0000  1 C 1.40

Values from the calculation:
Electronic total energy ... -7.698 eV per atom
Volume ... 11.9 A^3/atom

=====

(12)
Material: TcPdAu
Method: DFT, GGA-PBE
State: relaxed

a = 4.2690 Å, b = 4.2690 Å, c = 4.2690 Å
α = 60.00°, β = 60.00°, γ = 60.00°
With the nearest neighbours (Å) after each atom.
Atoms (fractional coordinates):
Tc  0.0000  0.0000  0.0000  4 Pd 2.61
Pd  0.7500  0.7500  0.7500  4 Au 2.61, 4 Tc 2.61
Au  0.5000  0.5000  0.5000  4 Pd 2.61

Values from the calculation:
Calculated formation energy ... 0.721 eV/atom
Electronic total energy ... -5.547 eV per atom
Volume ... 18.3 A^3/atom
Distance to the lowest polymorph of the same formula ... 0.000 eV/atom

=====

Question: Among the records above, which one has the lowest electronic total energy?
Answer: PuZr

=====

Question: Number 11 is which compound?
Answer: Tb2GdNi2C2N3

=====

Question: What is the electronic total energy in the tenth record?
Answer: -2.693 eV per atom